AcFeSi3Ni | PBE | optimized geometry

Cell: 6.553 6.553 6.023 Å, 90.00 90.00 123.09°
Fractional positions:
Ac 0.245 0.755 0.750
Ac 0.755 0.245 0.250
Fe 0.042 0.958 0.250
Fe 0.958 0.042 0.750
Si 0.225 0.775 0.250
Si 0.275 0.275 0.000
Si 0.275 0.275 0.500
Si 0.725 0.725 0.000
Si 0.725 0.725 0.500
Si 0.775 0.225 0.750
Ni 0.411 0.589 0.250
Ni 0.589 0.411 0.750

Properties
Its magnetization is 0.80 μB/f.u. Its crystal system is orthorhombic. The calculation puts the total energy at -0.226 Ha/atom.